RbMgTlBr4: relaxed, PBE.

energy relative to the elements, uncorrected = -9.7 eV/f.u.

POSCAR file:
```
RbMgTlBr4
1.0
7.699 0.000 -0.004
0.000 7.785 0.000
-3.005 0.000 9.041
Br Rb Mg Tl
8 2 2 2
Direct
0.423 0.750 0.139 Br
0.578 0.250 0.427 Br
0.012 0.500 0.248 Br
0.012 0.000 0.248 Br
0.988 0.000 0.752 Br
0.988 0.500 0.752 Br
0.422 0.750 0.573 Br
0.577 0.250 0.861 Br
0.271 0.250 0.065 Rb
0.729 0.750 0.935 Rb
0.230 0.750 0.307 Mg
0.770 0.250 0.693 Mg
0.784 0.750 0.453 Tl
0.216 0.250 0.547 Tl
```